Density functional theory data (PBE) for a relaxed Tl4BiPb2 crystal.

The structure in POSCAR format:
```
Tl4BiPb2
1.0
-3.0170 3.0170 8.0275
3.0170 -3.0170 8.0275
3.0170 3.0170 -8.0275
Tl Bi Pb
4 1 2
Direct
0.0000 0.5000 0.5000
0.1986 0.1986 0.0000
0.5000 0.0000 0.5000
0.8014 0.8014 0.0000
0.0000 0.0000 0.0000
0.4008 0.4008 0.0000
0.5992 0.5992 0.0000
```

## Properties
**Energy above the lowest structure with this stoichiometry**: 209.0 meV per atom
**Volume**: 292 Å³/f.u.
**E_form**: 0.308 eV/atom
**DOS at the Fermi energy**: 5.52 states/eV per cell

Density functional theory data (PBE) for a relaxed Tl3Bi2Pb3 crystal.

The structure in POSCAR format:
```
Tl3Bi2Pb3
1.0
2.8034 -5.9051 0.0000
2.8034 5.9051 0.0000
0.0000 0.0000 16.5038
Tl Bi Pb
6 4 6
Direct
0.0671 0.9329 0.6063
0.0671 0.9329 0.8937
0.2850 0.7150 0.7500
0.7150 0.2850 0.2500
0.9329 0.0671 0.1063
0.9329 0.0671 0.3937
0.2239 0.7761 0.1192
0.2239 0.7761 0.3808
0.7761 0.2239 0.6192
0.7761 0.2239 0.8808
0.3730 0.6270 0.5409
0.3730 0.6270 0.9591
0.4220 0.5780 0.2500
0.5780 0.4220 0.7500
0.6270 0.3730 0.0409
0.6270 0.3730 0.4591
```

## Properties
**Energy above the lowest structure with this stoichiometry**: 0.0 meV per atom
**Volume**: 273 Å³/f.u.
**E_form**: 0.019 eV/atom
**DOS at the Fermi energy**: 6.44 states/eV per cell

Density functional theory data (PBE) for a relaxed Tl4BiPb3 crystal.

The structure in POSCAR format:
```
Tl4BiPb3
1.0
10.5125 -2.4860 0.0000
10.5125 2.4860 0.0000
-1.1627 0.0000 4.8144
Tl Bi Pb
4 1 3
Direct
0.1257 0.1257 0.1263
0.2512 0.2512 0.7516
0.7488 0.7488 0.2484
0.8743 0.8743 0.8737
0.0000 0.0000 0.5000
0.3782 0.3782 0.3774
0.5000 0.5000 0.0000
0.6218 0.6218 0.6226
```

## Properties
**Energy above the lowest structure with this stoichiometry**: 0.0 meV per atom
**Volume**: 252 Å³/f.u.
**E_form**: -0.005 eV/atom
**DOS at the Fermi energy**: 4.61 states/eV per cell

> E_form of number 2 (Tl3Bi2Pb3)?

0.019 eV/atom

> Which value of volume does entry 1 give?

292 Å³/f.u.

Repeat the third record exactly.
Density functional theory data (PBE) for a relaxed Tl4BiPb3 crystal.

The structure in POSCAR format:
```
Tl4BiPb3
1.0
10.5125 -2.4860 0.0000
10.5125 2.4860 0.0000
-1.1627 0.0000 4.8144
Tl Bi Pb
4 1 3
Direct
0.1257 0.1257 0.1263
0.2512 0.2512 0.7516
0.7488 0.7488 0.2484
0.8743 0.8743 0.8737
0.0000 0.0000 0.5000
0.3782 0.3782 0.3774
0.5000 0.5000 0.0000
0.6218 0.6218 0.6226
```

## Properties
**Energy above the lowest structure with this stoichiometry**: 0.0 meV per atom
**Volume**: 252 Å³/f.u.
**E_form**: -0.005 eV/atom
**DOS at the Fermi energy**: 4.61 states/eV per cell

> The highest E_form belongs to which entry?

Tl4BiPb2